A plane-wave DFT calculation with PBE was carried out for a relaxed structure of Na2TaAlCl. Values from VASP.

Values from the calculation:
The calculation puts the total energy at -3.567 eV/atom. The symmetry is P4/mmm (123).

The structure in Quantum ESPRESSO input format:
```
&SYSTEM
  ibrav = 0, nat = 5, ntyp = 4
/
ATOMIC_SPECIES
Na 22.99 Na.upf
Cl 35.45 Cl.upf
Al 26.98 Al.upf
Ta 180.95 Ta.upf
ATOMIC_POSITIONS angstrom
Na 0.0000 0.0000 2.3778
Na 2.3778 0.0000 0.0000
Cl 0.0000 0.0000 0.0000
Al 2.3778 2.4253 2.3778
Ta 0.0000 2.4253 0.0000
CELL_PARAMETERS angstrom
4.7557 0.0000 0.0000
0.0000 4.8507 0.0000
0.0000 0.0000 4.7557
```

A plane-wave DFT calculation with PBE was carried out for a relaxed structure of Be2SbRh. Values from VASP.

Values from the calculation:
The calculation puts the total energy at -4.552 eV/atom. The symmetry is C2/m (12).

The structure in Quantum ESPRESSO input format:
```
&SYSTEM
  ibrav = 0, nat = 4, ntyp = 3
/
ATOMIC_SPECIES
Sb 121.76 Sb.upf
Rh 102.91 Rh.upf
Be 9.01 Be.upf
ATOMIC_POSITIONS angstrom
Sb -0.4491 0.0041 3.4122
Rh -1.3303 3.0962 0.6989
Be 0.0000 0.0000 0.0000
Be -2.0293 0.9851 1.7817
CELL_PARAMETERS angstrom
-2.9106 4.0772 -0.9315
-1.1481 -2.1070 4.4950
0.2499 2.1152 2.3293
```

Energy relative to the elements, uncorrected in meV/atom, matching the order above: 449, 180